The following is a DFT calculation (GGA-PBE) of a geometry-optimized K5HgO4 structure.

Summary:
* VASP energy: -70.19 eV per cell
* E_form (uncorrected): -0.95 eV/atom

```
data_K5HgO4
_chemical_formula_sum 'K10 Hg2 O8'
_cell_length_a 8.394
_cell_length_b 9.109
_cell_length_c 6.929
_cell_angle_alpha 90.00
_cell_angle_beta 90.00
_cell_angle_gamma 90.00
_symmetry_space_group_name_H-M 'P m m n'
_symmetry_Int_Tables_number 59
loop_
_symmetry_equiv_pos_as_xyz
'x,y,z'
'-x,-y,-z'
'-x+1/2,-y+1/2,z'
'x+1/2,y+1/2,-z'
'x+1/2,-y,-z'
'-x+1/2,y,z'
'-x,y+1/2,-z'
'x,-y+1/2,z'
loop_
_atom_site_label
_atom_site_type_symbol
_atom_site_fract_x
_atom_site_fract_y
_atom_site_fract_z
K1 K 0.019 0.036 0.233
K2 K 0.250 0.250 0.734
Hg1 Hg 0.250 0.750 0.473
O1 O 0.012 0.750 0.477
O2 O 0.250 0.028 0.969
```

---

The following is a DFT calculation (GGA-PBE) of a geometry-optimized BaNpTe3Au structure.

Summary:
* VASP energy: -65.86 eV per cell
* E_form (uncorrected): -0.89 eV/atom

```
data_BaNpTe3Au
_chemical_formula_sum 'Ba2 Np2 Te6 Au2'
_cell_length_a 9.262
_cell_length_b 4.530
_cell_length_c 10.145
_cell_angle_alpha 90.00
_cell_angle_beta 105.57
_cell_angle_gamma 90.00
_symmetry_space_group_name_H-M 'P 1 21/m 1'
_symmetry_Int_Tables_number 11
loop_
_symmetry_equiv_pos_as_xyz
'x,y,z'
'-x,-y,-z'
'-x,y+1/2,-z'
'x,-y+1/2,z'
loop_
_atom_site_label
_atom_site_type_symbol
_atom_site_fract_x
_atom_site_fract_y
_atom_site_fract_z
Ba1 Ba 0.196 0.250 0.252
Np1 Np 0.322 0.750 0.841
Te1 Te 0.099 0.250 0.869
Te2 Te 0.248 0.750 0.527
Te3 Te 0.444 0.750 0.162
Au1 Au 0.088 0.250 0.588
```

---

The following is a DFT calculation (GGA-PBE) of a geometry-optimized Ca3MgZn8 structure.

Summary:
* VASP energy: -61.53 eV per cell
* DFT formation energy: -0.227 eV per atom

```
data_Ca3MgZn8
_chemical_formula_sum 'Ca9 Mg3 Zn24'
_cell_length_a 5.4777
_cell_length_b 5.4777
_cell_length_c 26.9485
_cell_angle_alpha 90.00
_cell_angle_beta 90.00
_cell_angle_gamma 120.00
_symmetry_space_group_name_H-M 'R 3 m'
_symmetry_Int_Tables_number 160
_symmetry_space_group_name_Hall 'R 3 -2"'
loop_
_atom_site_label
_atom_site_type_symbol
_atom_site_fract_x
_atom_site_fract_y
_atom_site_fract_z
Ca1 Ca 0.0000 0.0000 0.0000
Ca2 Ca 0.0000 0.0000 0.1260
Ca3 Ca 0.0000 0.0000 0.6212
Mg1 Mg 0.0000 0.0000 0.4975
Zn1 Zn 0.0000 0.0000 0.3108
Zn2 Zn 0.0000 0.0000 0.8120
Zn3 Zn 0.0015 0.5007 0.0629
Zn4 Zn 0.1676 0.3352 0.8941
```

---

The following is a DFT calculation (GGA-PBE) of a geometry-optimized Hf2GeP structure.

Summary:
* VASP energy: -127.41 eV per cell
* DFT formation energy: -0.479 eV per atom

```
data_Hf2GeP
_chemical_formula_sum 'Hf8 Ge4 P4'
_cell_length_a 6.581
_cell_length_b 6.581
_cell_length_c 6.581
_cell_angle_alpha 90.00
_cell_angle_beta 90.00
_cell_angle_gamma 90.00
_symmetry_space_group_name_H-M 'F m -3 m'
_symmetry_Int_Tables_number 225
_symmetry_space_group_name_Hall '-F 4 2 3'
loop_
_atom_site_label
_atom_site_type_symbol
_atom_site_fract_x
_atom_site_fract_y
_atom_site_fract_z
Hf1 Hf 0.250 0.250 0.250
Ge1 Ge 0.000 0.000 0.000
P1 P 0.000 0.000 0.500
```

---

The following is a DFT calculation (GGA-PBE) of a geometry-optimized MgBiSe3 structure.

Summary:
* VASP energy: -16.26 eV per cell
* E_form (uncorrected): -0.07 eV/atom

```
data_MgBiSe3
_chemical_formula_sum 'Mg1 Bi1 Se3'
_cell_length_a 5.035
_cell_length_b 5.035
_cell_length_c 5.035
_cell_angle_alpha 90.00
_cell_angle_beta 90.00
_cell_angle_gamma 90.00
_symmetry_space_group_name_H-M 'P m -3 m'
_symmetry_Int_Tables_number 221
_symmetry_space_group_name_Hall '-P 4 2 3'
loop_
_atom_site_label
_atom_site_type_symbol
_atom_site_fract_x
_atom_site_fract_y
_atom_site_fract_z
Mg1 Mg 0.000 0.000 0.000
Bi1 Bi 0.500 0.500 0.500
Se1 Se 0.000 0.000 0.500
```

---

The following is a DFT calculation (GGA-PBE) of a geometry-optimized In3BiS4 structure.

Summary:
* VASP energy: -126.48 eV per cell
* E_form (uncorrected): -0.38 eV/atom

```
data_In3BiS4
_chemical_formula_sum 'In12 Bi4 S16'
_cell_length_a 13.601
_cell_length_b 7.209
_cell_length_c 8.852
_cell_angle_alpha 90.00
_cell_angle_beta 101.77
_cell_angle_gamma 90.00
_symmetry_space_group_name_H-M 'C 1 c 1'
_symmetry_Int_Tables_number 9
loop_
_symmetry_equiv_pos_as_xyz
'x,y,z'
'x,-y,z+1/2'
'x+1/2,y+1/2,z'
'x+1/2,-y+1/2,z+1/2'
loop_
_atom_site_label
_atom_site_type_symbol
_atom_site_fract_x
_atom_site_fract_y
_atom_site_fract_z
In1 In 0.000 0.083 0.000
In2 In 0.249 0.389 0.853
In3 In 0.477 0.116 0.847
Bi1 Bi 0.282 0.085 0.634
S1 S 0.078 0.096 0.299
S2 S 0.104 0.398 0.001
S3 S 0.327 0.271 0.399
S4 S 0.406 0.279 0.061
```

---

The following is a DFT calculation (GGA-PBE) of a geometry-optimized Cs2RbAs2 structure.

Summary:
* VASP energy: -22.05 eV per cell
* DFT formation energy: 0.190 eV per atom

```
data_Cs2RbAs2
_chemical_formula_sum 'Cs4 Rb2 As4'
_cell_length_a 6.253
_cell_length_b 6.253
_cell_length_c 12.875
_cell_angle_alpha 90.00
_cell_angle_beta 90.00
_cell_angle_gamma 90.00
_symmetry_space_group_name_H-M 'I 4/m m m'
_symmetry_Int_Tables_number 139
_symmetry_space_group_name_Hall '-I 4 2'
loop_
_atom_site_label
_atom_site_type_symbol
_atom_site_fract_x
_atom_site_fract_y
_atom_site_fract_z
Cs1 Cs 0.000 0.000 0.140
Rb1 Rb 0.000 0.000 0.500
As1 As 0.000 0.500 0.250
```

---

The following is a DFT calculation (GGA-PBE) of a geometry-optimized TmScRuPb structure.

Summary:
* VASP energy: -25.86 eV per cell
* DFT formation energy: -0.518 eV per atom

```
data_TmScRuPb
_chemical_formula_sum 'Tm1 Sc1 Ru1 Pb1'
_cell_length_a 3.327
_cell_length_b 3.327
_cell_length_c 7.975
_cell_angle_alpha 90.00
_cell_angle_beta 90.00
_cell_angle_gamma 90.00
_symmetry_space_group_name_H-M 'P 4 m m'
_symmetry_Int_Tables_number 99
loop_
_symmetry_equiv_pos_as_xyz
'x,y,z'
'-y,x,z'
'-x,-y,z'
'y,-x,z'
'-x,y,z'
'y,x,z'
'x,-y,z'
'-y,-x,z'
loop_
_atom_site_label
_atom_site_type_symbol
_atom_site_fract_x
_atom_site_fract_y
_atom_site_fract_z
Tm1 Tm 0.000 0.000 0.000
Sc1 Sc 0.000 0.000 0.602
Ru1 Ru 0.500 0.500 0.786
Pb1 Pb 0.500 0.500 0.315
```